Sc3CI3 (PBE, relaxed); energy = -5.661 eV/atom; formation energy without anion corrections = -965 meV/atom; mass density = 4.62 g/cm³
1.0
-0.901 2.471 -2.656
-6.420 2.569 4.568
7.449 8.250 5.151
Sc C I
6 2 6
direct
0.750 0.077 0.412
0.250 0.923 0.588
0.750 0.108 0.778
0.250 0.280 0.605
0.250 0.892 0.222
0.750 0.720 0.395
0.250 0.887 0.399
0.750 0.113 0.601
0.250 0.362 0.846
0.750 0.619 0.620
0.750 0.132 0.152
0.750 0.638 0.154
0.250 0.381 0.380
0.250 0.868 0.848



Sc2CI (PBE, relaxed); energy = -5.385 eV/atom; formation energy without anion corrections = 475 meV/atom; mass density = 5.17 g/cm³
1.0
0.000 3.325 3.325
3.325 0.000 3.325
3.325 3.325 0.000
Sc C I
2 1 1
direct
0.250 0.250 0.250
0.750 0.750 0.750
0.000 0.000 0.000
0.500 0.500 0.500



ScTeCI2 (PBE, relaxed); excess energy over the best structure of this formula in the dataset = 173 meV/atom; energy = -3.451 eV/atom; formation energy without anion corrections = 909 meV/atom; mass density = 3.97 g/cm³
1.0
5.642 0.000 0.000
0.000 5.642 0.000
0.000 0.000 5.755
Te C I Sc
1 1 2 1
direct
0.000 0.000 0.500
0.500 0.500 0.500
0.000 0.500 0.000
0.500 0.000 0.000
0.000 0.000 0.000



ScTe2CI (PBE, relaxed); excess energy over the best structure of this formula in the dataset = 0 meV/atom; energy = -4.053 eV/atom; formation energy without anion corrections = 625 meV/atom; mass density = 6.31 g/cm³
1.0
4.808 0.000 0.000
0.000 4.808 0.000
0.000 0.000 4.995
C Te Sc I
1 2 1 1
direct
0.000 0.000 0.000
0.000 0.500 0.000
0.500 0.000 0.000
0.500 0.500 0.500
0.000 0.000 0.500